## V3ReF (PBE+U)

Data for crystalline V3ReF at its relaxed geometry.

Computed properties:
space-group type = Pm-3m, No. 221
magnetic moment = 7.0 μB/f.u.
raw total energy = -5.92 eV per atom

a b c (Å): 4.8732 4.8732 4.8732
angles (deg): 90.00 90.00 90.00
Each line ends with the local moment (μB).
Positions (direct):
V1 0.0000 0.5000 0.0000  2.46
Re1 0.0000 0.0000 0.0000  -1.25
V2 0.0000 0.0000 0.5000  2.46
V3 0.5000 0.0000 0.0000  2.46
F1 0.5000 0.5000 0.5000  0.04